[1]
# Li2BeAu2 PBE relaxed
data_Li2BeAu2
_cell_length_a 6.213
_cell_length_b 6.213
_cell_length_c 4.147
_cell_angle_alpha 90.00
_cell_angle_beta 90.00
_cell_angle_gamma 90.00
_symmetry_space_group_name_H-M 'P 4/m b m'
_symmetry_Int_Tables_number 127
_symmetry_space_group_name_Hall '-P 4 2ab'
loop_
_atom_site_label
_atom_site_type_symbol
_atom_site_fract_x
_atom_site_fract_y
_atom_site_fract_z
_atom_site_occupancy
Li1 Li 0.158 0.342 0.000 1
Be1 Be 0.000 0.000 0.500 1
Au1 Au 0.159 0.659 0.500 1
# E above lowest polymorph = 40 meV/atom
# Magnetic moment = 0.000 Bohr magnetons per cell
# Formation energy = -291.3 meV per atom

[2]
# Ca2Cd2Sb3 PBE relaxed
data_Ca2Cd2Sb3
_cell_length_a 16.974
_cell_length_b 4.703
_cell_length_c 12.727
_cell_angle_alpha 90.00
_cell_angle_beta 126.15
_cell_angle_gamma 90.00
_symmetry_space_group_name_H-M 'C 1 2/m 1'
_symmetry_Int_Tables_number 12
loop_
_symmetry_equiv_pos_as_xyz
'x,y,z'
'-x,-y,-z'
'-x,y,-z'
'x,-y,z'
'x+1/2,y+1/2,z'
'-x+1/2,-y+1/2,-z'
'-x+1/2,y+1/2,-z'
'x+1/2,-y+1/2,z'
loop_
_atom_site_label
_atom_site_type_symbol
_atom_site_fract_x
_atom_site_fract_y
_atom_site_fract_z
_atom_site_occupancy
Ca1 Ca 0.099 0.000 0.446 1
Ca2 Ca 0.236 0.000 0.826 1
Cd1 Cd 0.051 0.500 0.813 1
Cd2 Cd 0.088 0.000 0.162 1
Sb1 Sb 0.096 0.500 0.623 1
Sb2 Sb 0.134 0.000 0.977 1
Sb3 Sb 0.165 0.500 0.330 1
# Magnetic moment = 0.000 Bohr magnetons per cell
# Formation energy from raw total energies = -398 kJ/mol of formula units